Record 1
Below is an optimized crystal structure of Zr3AsRh, with properties calculated at the PBE-GGA level.

Lattice parameters (Å, degrees): 4.999 4.999 4.999 90.00 90.00 90.00
Atoms (fractional coordinates):
Zr (0.000, 0.000, 0.500)
Zr (0.000, 0.500, 0.000)
Zr (0.500, 0.000, 0.000)
As (0.500, 0.500, 0.500)
Rh (0.000, 0.000, 0.000)

Results
The formation energy comes out at 0.11 eV per atom. The energy above the lowest structure with this stoichiometry comes out at 0 meV per atom.

=====

Record 2
Below is an optimized crystal structure of Li2CaO, with properties calculated at the PBE-GGA level.

Lattice parameters (Å, degrees): 6.135 6.135 6.135 60.00 60.00 60.00
Atoms (fractional coordinates):
Li (0.000, 0.000, 0.000)
Li (0.000, 0.000, 0.500)
Li (0.000, 0.500, 0.000)
Li (0.500, 0.000, 0.000)
Ca (0.375, 0.375, 0.375)
Ca (0.625, 0.625, 0.625)
O (0.125, 0.125, 0.125)
O (0.875, 0.875, 0.875)

Results
The calculation puts the uncorrected formation energy at -0.953 eV/atom.

=====

Record 3
Below is an optimized crystal structure of Rb2CuSI6, with properties calculated at the PBE-GGA level.

Lattice parameters (Å, degrees): 8.248 8.248 8.248 121.46 121.46 87.49
Atoms (fractional coordinates):
Rb (0.250, 0.750, 0.500)
Rb (0.750, 0.250, 0.500)
Cu (0.000, 0.000, 0.000)
S (0.500, 0.500, 0.000)
I (0.214, 0.214, 0.000)
I (0.260, 0.260, 0.519)
I (0.260, 0.740, 0.000)
I (0.740, 0.260, 0.000)
I (0.740, 0.740, 0.481)
I (0.786, 0.786, 0.000)

Results
The calculation puts the uncorrected formation energy at -0.528 eV/atom.

=====

Record 4
Below is an optimized crystal structure of ZnCoAs2, with properties calculated at the PBE-GGA level.

Lattice parameters (Å, degrees): 2.850 2.850 7.995 90.00 90.00 90.00
Atoms (fractional coordinates):
Zn (0.000, 0.000, 0.000)
Co (0.500, 0.500, 0.792)
As (0.000, 0.000, 0.625)
As (0.500, 0.500, 0.255)

Results
The formation energy comes out at 0.04 eV per atom.

=====

Number 1: electronic total energy -7.416 eV per atom, M_tot 0.00 μB/atom. Number 2: electronic total energy -3.650 eV per atom, M_tot 0.00 μB/atom. Number 3: electronic total energy -2.474 eV per atom, M_tot 0.00 μB/atom. Number 4: electronic total energy -4.382 eV per atom, M_tot 0.15 μB/atom.